## w
# K4MgV6O16 GGA+U relaxed
# Crystal system ... triclinic
# Space group ... P1 (1)
# Mass density ... 2.8 g cm⁻³
data_K4MgV6O16
_chemical_formula_sum 'K4 Mg1 V6 O16'
_space_group_name_H-M_alt 'P 1'
_space_group_IT_number 1
_cell_length_a 5.498
_cell_length_b 8.984
_cell_length_c 9.114
_cell_angle_alpha 86.09
_cell_angle_beta 88.91
_cell_angle_gamma 84.38
loop_
_space_group_symop_operation_xyz
'x,y,z'
loop_
_atom_site_label
_atom_site_fract_x
_atom_site_fract_y
_atom_site_fract_z
O1 0.514 0.686 0.399
O2 0.507 0.986 0.499
O3 0.537 0.317 0.588
O4 0.560 0.520 0.998
O5 0.938 0.669 0.848
O6 0.448 0.107 0.837
O7 0.629 0.203 0.083
O8 0.543 0.595 0.690
O9 0.611 0.407 0.305
O10 0.014 0.382 0.114
O11 0.471 0.935 0.181
O12 0.965 0.054 0.668
O13 0.961 0.489 0.511
O14 0.926 0.954 0.992
O15 0.905 0.859 0.337
O16 0.467 0.828 0.898
K1 0.199 0.228 0.376
K2 0.209 0.385 0.810
K3 0.174 0.689 0.148
K4 0.123 0.757 0.576
Mg1 0.168 0.981 0.833
V1 0.636 0.657 0.854
V2 0.639 0.111 0.643
V3 0.656 0.490 0.500
V4 0.711 0.375 0.128
V5 0.603 0.868 0.354
V6 0.621 0.010 0.001

=====

## x
# K4MgV6O16 GGA+U relaxed
# Crystal system ... orthorhombic
# Space group ... Cmm2 (35)
# Mass density ... 2.6 g cm⁻³
data_K4MgV6O16
_chemical_formula_sum 'K4 Mg1 V6 O16'
_space_group_name_H-M_alt 'P 1'
_space_group_IT_number 1
_cell_length_a 9.155
_cell_length_b 9.155
_cell_length_c 5.599
_cell_angle_alpha 90.00
_cell_angle_beta 90.00
_cell_angle_gamma 92.67
loop_
_space_group_symop_operation_xyz
'x,y,z'
loop_
_atom_site_label
_atom_site_fract_x
_atom_site_fract_y
_atom_site_fract_z
O1 0.000 0.000 0.472
O2 0.500 0.000 0.067
O3 0.373 0.373 0.062
O4 0.576 0.811 0.478
O5 0.424 0.189 0.478
O6 0.627 0.627 0.062
O7 0.117 0.883 0.040
O8 0.811 0.576 0.478
O9 0.000 0.500 0.067
O10 0.883 0.117 0.040
O11 0.500 0.500 0.543
O12 0.919 0.300 0.446
O13 0.081 0.700 0.446
O14 0.700 0.081 0.446
O15 0.300 0.919 0.446
O16 0.189 0.424 0.478
V1 0.874 0.126 0.339
V2 0.000 0.500 0.361
V3 0.363 0.363 0.386
V4 0.500 0.000 0.361
V5 0.126 0.874 0.339
V6 0.637 0.637 0.386
K1 0.175 0.175 0.832
K2 0.719 0.281 0.792
K3 0.825 0.825 0.832
K4 0.281 0.719 0.792
Mg1 0.500 0.500 0.890

=====

## y
# K4MgV6O16 GGA+U relaxed
# Crystal system ... triclinic
# Space group ... P1 (1)
# Mass density ... 2.8 g cm⁻³
data_K4MgV6O16
_chemical_formula_sum 'K4 Mg1 V6 O16'
_space_group_name_H-M_alt 'P 1'
_space_group_IT_number 1
_cell_length_a 5.508
_cell_length_b 8.968
_cell_length_c 9.007
_cell_angle_alpha 94.05
_cell_angle_beta 88.64
_cell_angle_gamma 89.63
loop_
_space_group_symop_operation_xyz
'x,y,z'
loop_
_atom_site_label
_atom_site_fract_x
_atom_site_fract_y
_atom_site_fract_z
O1 0.486 0.911 0.817
O2 0.402 0.303 0.386
O3 0.026 0.394 0.876
O4 0.444 0.219 0.918
O5 0.701 0.755 0.149
O6 0.018 0.499 0.524
O7 0.526 0.056 0.180
O8 0.061 0.872 0.656
O9 0.460 0.682 0.580
O10 0.211 0.813 0.091
O11 0.046 0.043 0.333
O12 0.013 0.070 0.998
O13 0.339 0.593 0.296
O14 0.457 0.536 0.982
O15 0.430 0.405 0.678
O16 0.473 0.992 0.510
V1 0.329 0.385 0.860
V2 0.343 0.106 0.355
V3 0.417 0.678 0.135
V4 0.316 0.490 0.494
V5 0.364 0.865 0.641
V6 0.335 0.022 0.995
K1 0.822 0.656 0.807
K2 0.821 0.146 0.716
K3 0.869 0.749 0.417
K4 0.786 0.320 0.139
Mg1 0.869 0.956 0.152

=====

The most stable structure shown above is y; the least stable is x.